Computed, not measured: a geometry-optimized Rb3Fe2 structure at the PBE level of DFT.

POSCAR file:
```
Rb3Fe2
1.0
-9.086 0.000 0.000
4.543 -7.869 0.000
-4.543 2.623 8.008
Fe Rb
4 6
Direct
0.153 0.847 0.542
0.347 0.653 0.958
0.847 0.153 0.458
0.653 0.347 0.042
0.054 0.554 0.750
0.446 0.250 0.750
0.554 0.750 0.250
0.250 0.054 0.250
0.946 0.446 0.250
0.750 0.946 0.750
```

Properties
Volume ... 572.6 Å³ per cell
Theoretical density ... 2.14 Mg/m³
Total energy ... -2.618 eV/atom
Magnetic moment ... 6.22 μB per formula unit

---

Computed, not measured: a geometry-optimized RbFe2 structure at the PBE level of DFT.

POSCAR file:
```
RbFe2
1.0
-5.468 -0.005 0.296
-2.647 4.434 1.824
-2.933 3.058 -3.469
Fe Rb
4 2
Direct
0.625 0.625 0.125
0.125 0.625 0.625
0.625 0.625 0.625
0.625 0.125 0.625
0.250 0.250 0.250
0.000 0.000 0.000
```

Properties
Excess energy over the best structure of this formula in the dataset ... 0.000 eV per atom
Volume ... 116.1 Å³ per cell
Theoretical density ... 5.64 Mg/m³
Magnetic moment ... 5.08 μB per formula unit

---

Computed, not measured: a geometry-optimized Rb3Fe structure at the PBE level of DFT.

POSCAR file:
```
Rb3Fe
1.0
-0.972 -7.259 4.539
7.900 2.955 -1.760
-0.066 3.510 5.600
Rb Fe
6 2
Direct
0.641 0.821 0.250
0.179 0.359 0.250
0.359 0.179 0.750
0.821 0.179 0.750
0.179 0.821 0.250
0.821 0.641 0.750
0.667 0.333 0.250
0.333 0.667 0.750
```

Properties
Excess energy over the best structure of this formula in the dataset ... 0.089 eV per atom
Volume ... 424.9 Å³ per cell
Theoretical density ... 2.44 Mg/m³
Magnetic moment ... 2.95 μB per formula unit

---

Computed, not measured: a geometry-optimized RbFe structure at the PBE level of DFT.

POSCAR file:
```
RbFe
1.0
2.506 2.506 0.000
0.000 5.012 0.000
0.000 0.000 5.176
Fe Rb
1 1
Direct
0.000 0.000 0.000
0.000 0.500 0.500
```

Properties
Excess energy over the best structure of this formula in the dataset ... 0.560 eV per atom
Volume ... 65.0 Å³ per cell
Theoretical density ... 3.61 Mg/m³
Magnetic moment ... 3.16 μB per formula unit

---

Computed, not measured: a geometry-optimized RbFeRe structure at the PBE level of DFT.

POSCAR file:
```
RbFeRe
1.0
0.000 3.477 3.477
3.477 0.000 3.477
3.477 3.477 0.000
Fe Rb Re
1 1 1
Direct
0.250 0.250 0.250
0.000 0.000 0.000
0.750 0.750 0.750
```

Properties
Excess energy over the best structure of this formula in the dataset ... 0.835 eV per atom
Volume ... 84.1 Å³ per cell
Theoretical density ... 6.47 Mg/m³
Magnetic moment ... 6.47 μB per formula unit

---

Computed, not measured: a geometry-optimized RbFeRe structure at the PBE level of DFT.

POSCAR file:
```
RbFeRe
1.0
0.000 3.204 3.204
3.204 0.000 3.204
3.204 3.204 0.000
Fe Re Rb
1 1 1
Direct
0.250 0.250 0.250
0.000 0.000 0.000
0.750 0.750 0.750
```

Properties
Excess energy over the best structure of this formula in the dataset ... 0.000 eV per atom
Volume ... 65.8 Å³ per cell
Theoretical density ... 8.26 Mg/m³
Magnetic moment ... 1.87 μB per formula unit

---

Computed, not measured: a geometry-optimized Rb4Fe2S5 structure at the PBE level of DFT.

POSCAR file:
```
Rb4Fe2S5
1.0
-4.046 6.018 1.997
-3.016 2.213 -7.600
-9.211 -4.822 -0.177
Fe Rb S
4 8 10
Direct
0.270 0.236 0.221
0.090 0.415 0.406
0.730 0.764 0.779
0.910 0.585 0.594
0.791 0.424 0.130
0.422 0.831 0.087
0.057 0.108 0.755
0.591 0.214 0.511
0.943 0.892 0.245
0.578 0.169 0.913
0.209 0.576 0.870
0.409 0.786 0.489
0.806 0.545 0.412
0.546 0.098 0.240
0.454 0.902 0.760
0.194 0.455 0.588
0.845 0.804 0.957
0.262 0.504 0.228
0.155 0.196 0.043
0.738 0.496 0.772
0.091 0.156 0.404
0.909 0.844 0.596
```

Properties
Volume ... 637.6 Å³ per cell
Theoretical density ... 3.20 Mg/m³
Total energy ... -4.591 eV/atom
Magnetic moment ... 7.00 μB per formula unit

---

Computed, not measured: a geometry-optimized RbFeS2 structure at the PBE level of DFT.

POSCAR file:
```
RbFeS2
1.0
6.589 -0.550 2.877
0.061 4.408 5.706
-3.895 -5.667 -2.170
Fe Rb S
2 2 4
Direct
0.000 0.753 0.753
0.000 0.247 0.247
0.675 0.675 0.000
0.325 0.325 0.000
0.746 0.000 0.746
0.254 0.000 0.254
0.149 0.649 0.500
0.851 0.351 0.500
```

Properties
Volume ... 210.6 Å³ per cell
Theoretical density ... 3.24 Mg/m³
Total energy ... -5.143 eV/atom
Magnetic moment ... 2.52 μB per formula unit

---

Computed, not measured: a geometry-optimized Rb6FeS6 structure at the PBE level of DFT.

POSCAR file:
```
Rb6FeS6
1.0
8.709 0.000 0.000
4.140 8.463 0.000
3.732 1.043 11.247
S Fe Rb
12 2 12
Direct
0.238 0.323 0.048
0.055 0.046 0.414
0.677 0.146 0.117
0.945 0.954 0.586
0.415 0.279 0.575
0.398 0.567 0.147
0.602 0.433 0.853
0.865 0.628 0.369
0.762 0.677 0.952
0.585 0.721 0.425
0.135 0.372 0.631
0.323 0.854 0.883
0.478 0.360 0.042
0.522 0.640 0.958
0.763 0.349 0.564
0.759 0.691 0.664
0.790 0.429 0.204
0.237 0.651 0.436
0.577 0.074 0.839
0.278 0.990 0.616
0.722 0.010 0.384
0.423 0.926 0.161
0.241 0.309 0.336
0.997 0.239 0.915
0.210 0.571 0.796
0.003 0.761 0.085
```

Properties
Volume ... 828.9 Å³ per cell
Theoretical density ... 3.05 Mg/m³
Total energy ... -3.901 eV/atom
Magnetic moment ... 4.00 μB per formula unit

---

Computed, not measured: a geometry-optimized RbFe3S5 structure at the PBE level of DFT.

POSCAR file:
```
RbFe3S5
1.0
-1.542 4.608 2.251
-3.349 -2.657 -3.226
-2.566 -3.615 5.642
Fe S Rb
3 5 1
Direct
0.500 0.500 0.500
0.500 0.000 0.500
0.000 0.500 0.500
0.667 0.333 0.273
0.000 0.000 0.500
0.333 0.667 0.273
0.667 0.333 0.727
0.333 0.667 0.727
0.000 0.000 0.000
```

Properties
Volume ... 178.2 Å³ per cell
Theoretical density ... 3.85 Mg/m³
Total energy ... -5.611 eV/atom
Magnetic moment ... 6.91 μB per formula unit

---

Computed, not measured: a geometry-optimized RbScFeS3 structure at the PBE level of DFT.

POSCAR file:
```
RbScFeS3
1.0
-3.122 2.577 7.881
-0.972 -3.584 0.787
9.112 -2.383 0.407
S Rb Fe Sc
6 2 2 2
Direct
0.630 0.250 0.849
0.704 0.750 0.545
0.370 0.750 0.151
0.968 0.750 0.148
0.296 0.250 0.455
0.032 0.250 0.852
0.711 0.250 0.234
0.289 0.750 0.766
0.578 0.250 0.595
0.422 0.750 0.405
0.838 0.750 0.858
0.162 0.250 0.142
```

Properties
Volume ... 293.8 Å³ per cell
Theoretical density ... 3.19 Mg/m³
Total energy ... -5.943 eV/atom
Magnetic moment ... 3.78 μB per formula unit

---

Computed, not measured: a geometry-optimized RbScFeS3 structure at the PBE level of DFT.

POSCAR file:
```
RbScFeS3
1.0
-0.295 -0.624 -8.349
-3.701 -2.082 -7.222
-3.000 7.860 1.104
S Fe Rb Sc
6 2 2 2
Direct
0.348 0.348 0.740
0.500 0.500 0.500
0.331 0.331 0.134
0.669 0.669 0.866
0.652 0.652 0.260
0.000 0.000 0.000
0.496 0.496 0.776
0.504 0.504 0.224
0.846 0.846 0.437
0.154 0.154 0.563
0.835 0.835 0.932
0.165 0.165 0.068
```

Properties
Volume ... 262.9 Å³ per cell
Theoretical density ... 3.57 Mg/m³
Total energy ... -5.737 eV/atom
Magnetic moment ... 4.00 μB per formula unit

---

- The lowest volume belongs to which entry?
  RbFe